# 1
This record from Alexandria describes a relaxed HoThRh2 crystal. The functional is GGA-PBE.

Lattice parameters (Å, degrees): 4.0336 4.0336 19.7496 90.00 90.00 120.00
With the nearest neighbours (Å) after each atom.
Space group R-3m (No. 166, hexagonal axes)
Asymmetric unit:
Ho  0.0000  0.0000  0.0000 [3 per cell]  6 Rh 2.86
Th  0.0000  0.0000  0.5000 [3 per cell]  6 Rh 2.85
Rh  0.0000  0.0000  0.2496 [6 per cell]  3 Th 2.85, 3 Ho 2.86

## Properties
Polymorph energy (0 for the lowest one) ... 133 meV/atom
DOS(E_F) ... 2.9 states/eV/f.u.
Energy of formation from the pure elements ... -0.7957 eV per atom

# 2
This record from Alexandria describes a relaxed HoTh2Rh2 crystal. The functional is GGA-PBE.

Lattice parameters (Å, degrees): 7.8404 7.8404 3.9145 90.00 90.00 90.00
With the nearest neighbours (Å) after each atom.
Space group P4/mbm (No. 127)
Asymmetric unit:
Ho  0.0000  0.0000  0.0000 [2 per cell]  4 Rh 3.05
Th  0.1677  0.3323  0.5000 [4 per cell]  6 Rh 2.93-3.09
Rh  0.1355  0.6355  0.0000 [4 per cell]  6 Th 2.93-3.09, 1 Rh 3.00, 2 Ho 3.05

## Properties
Polymorph energy (0 for the lowest one) ... 0 meV/atom
DOS(E_F) ... 4.5 states/eV/f.u.
Energy of formation from the pure elements ... -0.7604 eV per atom